{"formula": "K2ZrAl", "functional": "PBE", "state": "optimized geometry", "cell": [[-1.6285, 3.3190, 6.7430], [1.6285, -3.3190, 6.7430], [1.6285, 3.3190, -6.7430]], "species": ["K", "K", "Zr", "Al"], "frac_coords": [[0.0000, 0.0000, 0.0000], [0.7012, 0.2012, 0.5000], [0.4008, 0.4008, 0.0000], [0.2371, 0.7371, 0.5000]], "ef_ev_per_fu": 2.5, "mass_density_g_cm3": 2.2, "dft_energy_ev_per_atom": -3.00}